No. 1
Material: BaCeMgSe4
Method: DFT, GGA-PBE
State: optimized geometry Values from VASP.

**Formation energy (no corrections)**: -1549 meV/atom
**Space group**: P2_1/m

```
&SYSTEM
  ibrav = 0, nat = 14, ntyp = 4
/
ATOMIC_SPECIES
Ba 137.33 Ba.upf
Ce 140.12 Ce.upf
Mg 24.30 Mg.upf
Se 78.96 Se.upf
ATOMIC_POSITIONS angstrom
Ba 0.495 1.624 3.837
Ba 3.910 4.873 4.820
Ce -0.757 1.624 8.148
Ce 5.161 4.873 0.508
Mg 1.336 4.873 1.523
Mg 3.068 1.624 7.133
Se -2.236 4.873 7.812
Se -0.587 4.873 3.121
Se 1.244 3.356 6.745
Se 1.244 6.390 6.745
Se 3.161 0.107 1.911
Se 3.161 3.142 1.911
Se 4.991 1.624 5.535
Se 6.641 1.624 0.844
CELL_PARAMETERS angstrom
7.210 0.000 0.000
0.000 6.498 0.000
-2.805 0.000 8.656
```

No. 2
Material: BaCeMnN4
Method: DFT, GGA-PBE
State: optimized geometry Values from VASP.

**Formation energy (no corrections)**: -802 meV/atom
**Space group**: P2_1/m

```
&SYSTEM
  ibrav = 0, nat = 14, ntyp = 4
/
ATOMIC_SPECIES
Ba 137.33 Ba.upf
Ce 140.12 Ce.upf
Mn 54.94 Mn.upf
N 14.01 N.upf
ATOMIC_POSITIONS angstrom
Ba 0.373 1.394 3.033
Ba 3.330 4.182 4.097
Ce -0.450 1.394 6.746
Ce 4.153 4.182 0.384
Mn 1.213 4.182 1.228
Mn 2.490 1.394 5.902
N -0.182 4.182 2.250
N -1.520 4.182 6.773
N 2.267 2.833 1.437
N 2.267 5.532 1.437
N 1.436 0.045 5.694
N 1.436 2.743 5.694
N 5.222 1.394 0.358
N 3.885 1.394 4.881
CELL_PARAMETERS angstrom
5.840 0.000 0.000
0.000 5.576 0.000
-2.137 0.000 7.130
```

No. 3
Material: BaCe2MnN4
Method: DFT, GGA-PBE
State: optimized geometry Values from VASP.

**Formation energy (no corrections)**: -1063 meV/atom
**Space group**: Cmcm

```
&SYSTEM
  ibrav = 0, nat = 16, ntyp = 4
/
ATOMIC_SPECIES
Ba 137.33 Ba.upf
Ce 140.12 Ce.upf
Mn 54.94 Mn.upf
N 14.01 N.upf
ATOMIC_POSITIONS angstrom
Ba 1.801 4.972 8.976
Ba 1.801 -4.972 2.992
Ce 1.801 1.630 6.569
Ce 1.801 1.630 11.383
Ce 1.801 -1.630 0.585
Ce 1.801 -1.630 5.399
Mn 1.801 3.962 2.992
Mn 1.801 -3.962 8.976
N 0.000 0.000 0.000
N 0.000 0.000 5.984
N 1.801 3.037 1.360
N 1.801 3.037 4.624
N 1.801 1.333 8.976
N 1.801 -1.333 2.992
N 1.801 -3.037 7.344
N 1.801 -3.037 10.608
CELL_PARAMETERS angstrom
1.801 -6.115 0.000
1.801 6.115 0.000
0.000 0.000 11.968
```

No. 4
Material: BaCe2MnS5
Method: DFT, GGA-PBE
State: optimized geometry Values from VASP.

**Formation energy (no corrections)**: -1742 meV/atom
**Space group**: I4/mcm

```
&SYSTEM
  ibrav = 0, nat = 18, ntyp = 4
/
ATOMIC_SPECIES
Ba 137.33 Ba.upf
Ce 140.12 Ce.upf
Mn 54.94 Mn.upf
S 32.06 S.upf
ATOMIC_POSITIONS angstrom
Ba 0.000 0.000 3.406
Ba 0.000 0.000 10.217
Ce 5.176 1.247 0.000
Ce 1.247 2.682 0.000
Ce 2.682 1.247 6.811
Ce -1.247 2.682 6.811
Mn 3.929 0.000 3.406
Mn 0.000 3.929 3.406
S 0.000 0.000 0.000
S 2.742 1.187 -1.822
S 2.742 -1.187 4.990
S 2.742 1.187 1.822
S 2.742 -1.187 8.633
S 0.000 0.000 6.811
S 1.187 5.117 -1.822
S 1.187 2.742 4.990
S 1.187 5.117 1.822
S 1.187 2.742 8.633
CELL_PARAMETERS angstrom
-3.929 3.929 6.811
3.929 -3.929 6.811
3.929 3.929 -6.811
```